# BiMoP2O

An optimized crystal structure of BiMoP2O (PBE+U, Alexandria via LeMat-Bulk).

It has space group P4/mmm (No. 123), with a = 4.684 Å, b = 4.684 Å, c = 4.252 Å, α = 90.00°, β = 90.00° and γ = 90.00°. The inequivalent atoms are Bi at (0.000, 0.000, 0.000), Mo at (0.500, 0.500, 0.000), P at (0.000, 0.500, 0.500) and O at (0.500, 0.500, 0.500).

The calculation puts the density at 6.81 Mg/m³. As for the calculated volume: 93.31 Å³/f.u. The total energy is -4.9375 eV/atom. For the energy above the most stable polymorph in this dataset, the calculation gives 0.474 eV per atom.